First-principles (GGA-PBE) data for ZnW2Se after structural relaxation, as listed in the Alexandria database.

## Properties
E above lowest polymorph	0.372	eV per atom
magnetic moment	0.00	μB per formula unit
energy relative to the elements, uncorrected	0.67	eV per atom

Cell lengths 6.258, 6.258, 6.258 Å; angles 90.00, 90.00, 90.00 degrees
Element x y z (fractional)
Zn  0.000  0.000  0.000
Zn  0.000  0.500  0.500
Zn  0.500  0.000  0.500
Zn  0.500  0.500  0.000
W  0.250  0.250  0.250
W  0.250  0.250  0.750
W  0.250  0.750  0.250
W  0.250  0.750  0.750
W  0.750  0.250  0.250
W  0.750  0.250  0.750
W  0.750  0.750  0.250
W  0.750  0.750  0.750
Se  0.000  0.000  0.500
Se  0.000  0.500  0.000
Se  0.500  0.000  0.000
Se  0.500  0.500  0.500